A plane-wave DFT calculation with PBE was carried out for a geometry-optimized LaTe2I structure.

Computed properties:
V: 130.14 Å³/cell
Fermi-level density of states: 2.400 states/eV per atom
ΔE_f (raw): -13.2 kcal/mol of atoms
Total moment: 0.00 μB/cell
Uncorrected energy: -3.76 eV per atom
Relative energy among the computed polymorphs: 1.34 eV per formula unit

abc: 5.6881 5.6881 5.6881
angles: 60.00 60.00 60.00
Fractional positions:
I (0.0000, 0.0000, 0.0000)
La (0.5000, 0.5000, 0.5000)
Te (0.2500, 0.2500, 0.2500)
Te (0.7500, 0.7500, 0.7500)


A plane-wave DFT calculation with PBE was carried out for a geometry-optimized La6TeI8 structure.

Computed properties:
V: 614.92 Å³/cell
Fermi-level density of states: 0.388 states/eV per atom
ΔE_f (raw): -30.8 kcal/mol of atoms
Total moment: 0.00 μB/cell
Uncorrected energy: -4.34 eV per atom

abc: 7.8602 7.8602 12.3562
angles: 71.45 71.45 60.00
Fractional positions:
La (0.6169, 0.2803, 0.1542)
I (0.4421, 0.1098, 0.6708)
La (0.7197, 0.0514, 0.8458)
I (0.3333, 0.3333, 0.0000)
La (0.3831, 0.7197, 0.8458)
I (0.6667, 0.6667, 0.0000)
Te (0.0000, 0.0000, 0.0000)
I (0.8902, 0.2227, 0.3292)
La (0.9486, 0.6169, 0.1542)
La (0.2803, 0.9486, 0.1542)
I (0.2227, 0.5579, 0.3292)
La (0.0514, 0.3831, 0.8458)
I (0.1098, 0.7773, 0.6708)
I (0.5579, 0.8902, 0.3292)
I (0.7773, 0.4421, 0.6708)


A plane-wave DFT calculation with PBE was carried out for a geometry-optimized La4Te3I4 structure.

Computed properties:
V: 381.09 Å³/cell
Fermi-level density of states: 0.266 states/eV per atom
ΔE_f (raw): -33.3 kcal/mol of atoms
Total moment: 0.00 μB/cell
Uncorrected energy: -4.66 eV per atom

abc: 4.1229 9.5317 11.0000
angles: 115.67 100.80 90.00
Fractional positions:
La (0.5000, 0.7734, 0.0000)
I (0.3305, 0.5153, 0.6609)
I (0.3305, 0.1457, 0.6609)
Te (0.0913, 0.0913, 0.1826)
Te (0.9087, 0.9087, 0.8174)
I (0.6695, 0.4847, 0.3391)
La (0.7272, 0.2272, 0.4543)
La (0.2728, 0.7728, 0.5457)
I (0.6695, 0.8543, 0.3391)
Te (0.0000, 0.5000, 0.0000)
La (0.5000, 0.2266, 0.0000)


A plane-wave DFT calculation with PBE was carried out for a geometry-optimized LaTe2I structure.

Computed properties:
V: 188.93 Å³/cell
Fermi-level density of states: 0.000 states/eV per atom
ΔE_f (raw): -21.0 kcal/mol of atoms
Total moment: 0.00 μB/cell
Uncorrected energy: -4.10 eV per atom
Relative energy among the computed polymorphs: 0.00 eV per formula unit

abc: 9.5531 9.5531 9.5531
angles: 29.65 29.65 29.65
Fractional positions:
La (0.5000, 0.5000, 0.5000)
I (0.0000, 0.0000, 0.0000)
Te (0.1082, 0.1082, 0.1082)
Te (0.8918, 0.8918, 0.8918)


A plane-wave DFT calculation with PBE was carried out for a geometry-optimized La3TeI3 structure.

Computed properties:
V: 601.30 Å³/cell
Fermi-level density of states: 0.442 states/eV per atom
ΔE_f (raw): -30.5 kcal/mol of atoms
Total moment: 0.00 μB/cell
Uncorrected energy: -4.55 eV per atom
Relative energy among the computed polymorphs: 0.32 eV per formula unit

abc: 7.7591 7.7591 12.3724
angles: 71.73 71.73 60.00
Fractional positions:
La (0.7206, 0.3793, 0.8501)
I (0.2269, 0.8910, 0.3271)
I (0.1090, 0.4450, 0.6729)
La (0.0500, 0.7206, 0.8501)
La (0.6207, 0.9500, 0.1499)
Te (0.6667, 0.6667, 0.0000)
La (0.9500, 0.2794, 0.1499)
La (0.2794, 0.6207, 0.1499)
I (0.4450, 0.7731, 0.6729)
Te (0.3333, 0.3333, 0.0000)
I (0.5550, 0.2269, 0.3271)
La (0.3793, 0.0500, 0.8501)
I (0.8910, 0.5550, 0.3271)
I (0.7731, 0.1090, 0.6729)


A plane-wave DFT calculation with PBE was carried out for a geometry-optimized LaTe2I structure.

Computed properties:
V: 337.30 Å³/cell
Fermi-level density of states: 0.240 states/eV per atom
ΔE_f (raw): -19.1 kcal/mol of atoms
Total moment: 0.00 μB/cell
Uncorrected energy: -4.02 eV per atom
Relative energy among the computed polymorphs: 0.32 eV per formula unit

abc: 5.4326 5.4326 12.0571
angles: 76.98 76.98 90.00
Fractional positions:
Te (0.7830, 0.1250, 0.2500)
La (0.0000, 0.0000, 0.0000)
Te (0.9670, 0.6250, 0.2500)
I (0.5000, 0.5000, 0.0000)
I (0.2500, 0.7500, 0.5000)
Te (0.8750, 0.0330, 0.7500)
La (0.7500, 0.2500, 0.5000)
Te (0.3750, 0.2170, 0.7500)


A plane-wave DFT calculation with PBE was carried out for a geometry-optimized LaTe2I structure.

Computed properties:
V: 143.47 Å³/cell
Fermi-level density of states: 1.215 states/eV per atom
ΔE_f (raw): 4.1 kcal/mol of atoms
Total moment: 0.00 μB/cell
Uncorrected energy: -3.01 eV per atom
Relative energy among the computed polymorphs: 4.35 eV per formula unit

abc: 11.5568 11.5568 11.5568
angles: 19.03 19.03 19.03
Fractional positions:
I (0.5000, 0.5000, 0.5000)
Te (0.0905, 0.0905, 0.0905)
Te (0.9095, 0.9095, 0.9095)
La (0.0000, 0.0000, 0.0000)


A plane-wave DFT calculation with PBE was carried out for a geometry-optimized La2TeI3 structure.

Computed properties:
V: 598.71 Å³/cell
Fermi-level density of states: 0.507 states/eV per atom
ΔE_f (raw): -33.7 kcal/mol of atoms
Total moment: 0.00 μB/cell
Uncorrected energy: -4.40 eV per atom
Relative energy among the computed polymorphs: 0.00 eV per formula unit

abc: 4.4617 11.6818 13.1473
angles: 119.11 90.00 90.00
Fractional positions:
La (0.7500, 0.6940, 0.1651)
I (0.7500, 0.6958, 0.5510)
La (0.2500, 0.3060, 0.8349)
La (0.2500, 0.9170, 0.6159)
Te (0.7500, 0.1340, 0.6525)
I (0.7500, 0.9283, 0.1075)
I (0.2500, 0.3042, 0.4490)
I (0.7500, 0.5354, 0.8775)
Te (0.2500, 0.8660, 0.3475)
I (0.2500, 0.4646, 0.1225)
La (0.7500, 0.0830, 0.3841)
I (0.2500, 0.0717, 0.8925)


What did the first record say?
A plane-wave DFT calculation with PBE was carried out for a geometry-optimized LaTe2I structure.

Computed properties:
V: 130.14 Å³/cell
Fermi-level density of states: 2.400 states/eV per atom
ΔE_f (raw): -13.2 kcal/mol of atoms
Total moment: 0.00 μB/cell
Uncorrected energy: -3.76 eV per atom
Relative energy among the computed polymorphs: 1.34 eV per formula unit

abc: 5.6881 5.6881 5.6881
angles: 60.00 60.00 60.00
Fractional positions:
I (0.0000, 0.0000, 0.0000)
La (0.5000, 0.5000, 0.5000)
Te (0.2500, 0.2500, 0.2500)
Te (0.7500, 0.7500, 0.7500)


- Which of these has the highest ΔE_f (raw)?
  number 7


Repeat the third record exactly.
A plane-wave DFT calculation with PBE was carried out for a geometry-optimized La4Te3I4 structure.

Computed properties:
V: 381.09 Å³/cell
Fermi-level density of states: 0.266 states/eV per atom
ΔE_f (raw): -33.3 kcal/mol of atoms
Total moment: 0.00 μB/cell
Uncorrected energy: -4.66 eV per atom

abc: 4.1229 9.5317 11.0000
angles: 115.67 100.80 90.00
Fractional positions:
La (0.5000, 0.7734, 0.0000)
I (0.3305, 0.5153, 0.6609)
I (0.3305, 0.1457, 0.6609)
Te (0.0913, 0.0913, 0.1826)
Te (0.9087, 0.9087, 0.8174)
I (0.6695, 0.4847, 0.3391)
La (0.7272, 0.2272, 0.4543)
La (0.2728, 0.7728, 0.5457)
I (0.6695, 0.8543, 0.3391)
Te (0.0000, 0.5000, 0.0000)
La (0.5000, 0.2266, 0.0000)